Here is a relaxed TbPm4Pr3 crystal from Alexandria via LeMat-Bulk. Energies are from GGA-PBE.

Cell lengths 6.3972, 7.4010, 11.8570 Å; angles 90.00, 90.00, 90.00 degrees
Sites, in units of the cell vectors:
Pm: 0.4804 0.8755 0.2520
Pm: 0.1494 0.8762 0.0000
Pm: 0.6477 0.1241 0.0000
Pm: 0.9804 0.1245 0.2480
Pm: 0.9804 0.1245 0.7520
Pm: 0.6494 0.1238 0.5000
Pm: 0.1477 0.8759 0.5000
Pm: 0.4804 0.8755 0.7480
Pr: 0.9813 0.6253 0.7502
Pr: 0.6480 0.6262 0.0000
Pr: 0.1480 0.3738 0.5000
Pr: 0.4813 0.3747 0.2502
Pr: 0.4813 0.3747 0.7498
Pr: 0.9813 0.6253 0.2498
Tb: 0.1469 0.3737 0.0000
Tb: 0.6469 0.6263 0.5000

## Properties
Total DFT energy (no corrections), eV per atom: -4.7139
Formation enthalpy at 0 K, eV per atom: 0.033
Mass density, g/cm³: 6.9

***

Here is a relaxed AlRe3Si crystal from Alexandria via LeMat-Bulk. Energies are from GGA-PBE.

Cell lengths 4.4040, 4.4040, 4.4040 Å; angles 90.00, 90.00, 90.00 degrees
Sites, in units of the cell vectors:
Al: 0.5000 0.5000 0.5000
Re: 0.0000 0.0000 0.5000
Re: 0.5000 0.0000 0.0000
Re: 0.0000 0.5000 0.0000
Si: 0.0000 0.0000 0.0000

## Properties
Total DFT energy (no corrections), eV per atom: -8.1974
Formation energy (no corrections), eV/f.u.: 5.52
Mass density, g/cm³: 11.9

***

Here is a relaxed Sb2IrPt crystal from Alexandria via LeMat-Bulk. Energies are from GGA-PBE.

Cell lengths 4.9827, 4.3962, 4.7166 Å; angles 63.01, 90.00, 90.00 degrees
Sites, in units of the cell vectors:
Sb: 0.0000 0.8622 0.8762
Sb: 0.5000 0.3914 0.3725
Ir: 0.0000 0.5308 0.5182
Pt: 0.5000 0.7156 0.7331

## Properties
Total DFT energy (no corrections), eV per atom: -5.9149
Formation energy (no corrections), eV/f.u.: -0.51
Mass density, g/cm³: 11.4

***

Here is a relaxed YMg2I crystal from Alexandria via LeMat-Bulk. Energies are from GGA-PBE.

Cell lengths 5.5431, 5.5431, 5.5431 Å; angles 60.00, 60.00, 60.00 degrees
Sites, in units of the cell vectors:
Mg: 0.7500 0.7500 0.7500
Mg: 0.2500 0.2500 0.2500
Y: 0.0000 0.0000 0.0000
I: 0.5000 0.5000 0.5000

## Properties
Total DFT energy (no corrections), eV per atom: -2.5602
Formation energy (no corrections), eV/f.u.: 0.96
Mass density, g/cm³: 3.6

***

Here is a relaxed Ti2MnRuRh crystal from Alexandria via LeMat-Bulk. Energies are from GGA-PBE.

Cell lengths 4.3774, 4.3264, 4.3774 Å; angles 90.00, 90.00, 90.00 degrees
Sites, in units of the cell vectors:
Ti: 0.5000 0.0000 0.0000
Ti: 0.0000 0.0000 0.5000
Rh: 0.0000 0.5000 0.0000
Ru: 0.5000 0.5000 0.5000
Mn: 0.0000 0.0000 0.0000

## Properties
Total DFT energy (no corrections), eV per atom: -7.7251
Formation enthalpy at 0 K, eV per atom: 0.592
Mass density, g/cm³: 7.1

***

Here is a relaxed Ti2B2Pd crystal from Alexandria via LeMat-Bulk. Energies are from GGA-PBE.

Cell lengths 2.8223, 2.8223, 7.8826 Å; angles 79.69, 79.69, 90.00 degrees
Sites, in units of the cell vectors:
Ti: 0.6274 0.6274 0.7451
Ti: 0.3726 0.3726 0.2549
B: 0.2500 0.7500 0.5000
B: 0.7500 0.2500 0.5000
Pd: 0.0000 0.0000 0.0000

## Properties
Total DFT energy (no corrections), eV per atom: -6.9753
Formation enthalpy at 0 K, eV per atom: -0.108
Mass density, g/cm³: 6.1

***

Here is a relaxed Cu4Mo3 crystal from Alexandria via LeMat-Bulk. Energies are from GGA-PBE.

Cell lengths 10.0777, 10.0777, 10.0777 Å; angles 162.01, 162.01, 25.55 degrees
Sites, in units of the cell vectors:
Mo: 0.2839 0.2839 0.0000
Mo: 0.0000 0.0000 0.0000
Mo: 0.7161 0.7161 0.0000
Cu: 0.8640 0.8640 0.0000
Cu: 0.5743 0.5743 0.0000
Cu: 0.4257 0.4257 0.0000
Cu: 0.1360 0.1360 0.0000

## Properties
Total DFT energy (no corrections), eV per atom: -6.6583
Formation enthalpy at 0 K, eV per atom: 0.324
Mass density, g/cm³: 9.2

***

Here is a relaxed SrGeTe2 crystal from Alexandria via LeMat-Bulk. Energies are from GGA-PBE.

Cell lengths 6.9752, 6.9752, 8.8070 Å; angles 66.67, 66.67, 90.00 degrees
Sites, in units of the cell vectors:
Te: 0.5826 0.1250 0.2500
Te: 0.8750 0.8326 0.7500
Te: 0.3750 0.4174 0.7500
Te: 0.1674 0.6250 0.2500
Ge: 0.2500 0.7500 0.5000
Ge: 0.5000 0.5000 0.0000
Sr: 0.0000 0.0000 0.0000
Sr: 0.7500 0.2500 0.5000

## Properties
Total DFT energy (no corrections), eV per atom: -3.7729
Formation energy (no corrections), eV/f.u.: -2.51
Mass density, g/cm³: 3.9

***

Here is a relaxed PdRhAu crystal from Alexandria via LeMat-Bulk. Energies are from GGA-PBE.

Cell lengths 2.8223, 2.8223, 6.3243 Å; angles 102.89, 102.89, 90.00 degrees
Last column: magnetic moment on the atom in μB.
Sites, in units of the cell vectors:
Pd: 0.3271 0.3271 0.6541  0.36
Au: 0.0011 0.0011 0.0021  0.06
Rh: 0.6719 0.6719 0.3438  0.95

## Properties
Total DFT energy (no corrections), eV per atom: -5.1755
Formation enthalpy at 0 K, eV per atom: 0.098
Mass density, g/cm³: 14.1

***

Here is a relaxed LiNdTcGe2 crystal from Alexandria via LeMat-Bulk. Energies are from GGA-PBE.

Cell lengths 4.1604, 4.1604, 6.2145 Å; angles 109.56, 109.56, 90.00 degrees
Last column: magnetic moment on the atom in μB.
Sites, in units of the cell vectors:
Li: 0.2500 0.7500 0.5000  0.00
Nd: 0.0000 0.0000 0.0000  0.04
Tc: 0.7500 0.2500 0.5000  0.46
Ge: 0.6229 0.6229 0.2458  0.00
Ge: 0.3771 0.3771 0.7542  0.00

## Properties
Total DFT energy (no corrections), eV per atom: -5.6675
Formation enthalpy at 0 K, eV per atom: -0.411
Mass density, g/cm³: 6.9

***

Here is a relaxed Mg2TcSe crystal from Alexandria via LeMat-Bulk. Energies are from GGA-PBE.

Cell lengths 5.2629, 5.2629, 5.2629 Å; angles 135.86, 135.86, 64.19 degrees
Last column: magnetic moment on the atom in μB.
Sites, in units of the cell vectors:
Mg: 0.2500 0.7500 0.5000  -0.01
Mg: 0.0000 0.0000 0.0000  -0.01
Tc: 0.7500 0.2500 0.5000  0.83
Se: 0.5000 0.5000 0.0000  0.01

## Properties
Total DFT energy (no corrections), eV per atom: -4.1763
Formation energy (no corrections), eV/f.u.: 0.33
Mass density, g/cm³: 5.4

***

Here is a relaxed Sn3Pb crystal from Alexandria via LeMat-Bulk. Energies are from GGA-PBE.

Cell lengths 5.7506, 6.7256, 6.7042 Å; angles 90.00, 90.00, 115.31 degrees
Sites, in units of the cell vectors:
Sn: 0.3458 0.6916 0.2500
Sn: 0.1293 0.2587 0.5124
Sn: 0.6542 0.3084 0.7500
Sn: 0.8707 0.7413 0.4876
Sn: 0.8707 0.7413 0.0124
Sn: 0.1293 0.2587 0.9876
Pb: 0.3869 0.7738 0.7500
Pb: 0.6131 0.2262 0.2500

## Properties
Total DFT energy (no corrections), eV per atom: -3.8632
Formation enthalpy at 0 K, eV per atom: 0.066
Mass density, g/cm³: 8.0

***

Here is a relaxed CaGa2Cu crystal from Alexandria via LeMat-Bulk. Energies are from GGA-PBE.

Cell lengths 5.5976, 6.8589, 15.7906 Å; angles 90.00, 90.00, 90.00 degrees
Sites, in units of the cell vectors:
Ga: 0.2551 0.4433 0.4652
Ga: 0.7449 0.9433 0.5348
Ga: 0.7551 0.5567 0.0348
Ga: 0.4755 0.9425 0.2859
Ga: 0.5245 0.0575 0.7141
Ga: 0.2449 0.0567 0.9652
Ga: 0.0245 0.9425 0.7859
Ga: 0.2449 0.4433 0.9652
Ga: 0.5245 0.4425 0.7141
Ga: 0.9755 0.0575 0.2141
Ga: 0.7449 0.5567 0.5348
Ga: 0.0245 0.5575 0.7859
Ga: 0.2551 0.0567 0.4652
Ga: 0.9755 0.4425 0.2141
Ga: 0.4755 0.5575 0.2859
Ga: 0.7551 0.9433 0.0348
Ca: 0.2484 0.7500 0.6063
Ca: 0.5114 0.7500 0.8564
Ca: 0.4886 0.2500 0.1436
Ca: 0.0114 0.2500 0.6436
Ca: 0.7516 0.2500 0.3937
Ca: 0.7484 0.2500 0.8937
Ca: 0.9886 0.7500 0.3564
Ca: 0.2516 0.7500 0.1063
Cu: 0.4912 0.7500 0.4274
Cu: 0.5088 0.2500 0.5726
Cu: 0.7418 0.7500 0.1771
Cu: 0.9912 0.2500 0.0726
Cu: 0.2418 0.2500 0.3229
Cu: 0.2582 0.2500 0.8229
Cu: 0.0088 0.7500 0.9274
Cu: 0.7582 0.7500 0.6771

## Properties
Total DFT energy (no corrections), eV per atom: -3.4131
Formation enthalpy at 0 K, eV per atom: -0.375
Mass density, g/cm³: 5.3

***

Here is a relaxed AlInF3 crystal from Alexandria via LeMat-Bulk. Energies are from GGA-PBE.

Cell lengths 4.5130, 4.5130, 4.5130 Å; angles 90.00, 90.00, 90.00 degrees
Sites, in units of the cell vectors:
F: 0.0000 0.0000 0.5000
F: 0.0000 0.5000 0.0000
F: 0.5000 0.0000 0.0000
Al: 0.5000 0.5000 0.5000
In: 0.0000 0.0000 0.0000

## Properties
Total DFT energy (no corrections), eV per atom: -4.0482
Formation energy (no corrections), eV/f.u.: -8.15
Mass density, g/cm³: 3.6

***

Here is a relaxed BeNiHg crystal from Alexandria via LeMat-Bulk. Energies are from GGA-PBE.

Cell lengths 3.8894, 3.8894, 3.0829 Å; angles 90.00, 90.00, 120.00 degrees
Sites, in units of the cell vectors:
Be: 0.0000 0.0000 0.8340
Hg: 0.6667 0.3333 0.3330
Ni: 0.3333 0.6667 0.8330

## Properties
Total DFT energy (no corrections), eV per atom: -3.0773
Formation enthalpy at 0 K, eV per atom: 0.192
Mass density, g/cm³: 11.0

***

Here is a relaxed BaRhO2 crystal from Alexandria via LeMat-Bulk. Energies are from GGA-PBE.

Cell lengths 6.6897, 6.6897, 6.6897 Å; angles 34.98, 34.98, 34.98 degrees
Last column: magnetic moment on the atom in μB.
Sites, in units of the cell vectors:
O: 0.9009 0.9009 0.9009  0.29
O: 0.0991 0.0991 0.0991  0.29
Ba: 0.5000 0.5000 0.5000  0.04
Rh: 0.0000 0.0000 0.0000  1.36

## Properties
Total DFT energy (no corrections), eV per atom: -6.0801
Formation energy (no corrections), eV/f.u.: -5.13
Mass density, g/cm³: 5.1

***

Here is a relaxed Ba11C2N10 crystal from Alexandria via LeMat-Bulk. Energies are from GGA-PBE.

Cell lengths 16.4867, 16.4867, 4.1509 Å; angles 90.00, 90.00, 90.00 degrees
Sites, in units of the cell vectors:
Ba: 0.0190 0.2073 0.5000
Ba: 0.2927 0.5190 0.0000
Ba: 0.7927 0.9810 0.5000
Ba: 0.0000 0.0000 0.0000
Ba: 0.6180 0.1167 0.5000
Ba: 0.8820 0.6167 0.0000
Ba: 0.3820 0.8833 0.5000
Ba: 0.5190 0.2927 0.0000
Ba: 0.2073 0.0190 0.5000
Ba: 0.5000 0.5000 0.5000
Ba: 0.9810 0.7927 0.5000
Ba: 0.6167 0.8820 0.0000
Ba: 0.8245 0.1755 0.0000
Ba: 0.1167 0.6180 0.5000
Ba: 0.8833 0.3820 0.5000
Ba: 0.6755 0.6755 0.5000
Ba: 0.3833 0.1180 0.0000
Ba: 0.4810 0.7073 0.0000
Ba: 0.1180 0.3833 0.0000
Ba: 0.3245 0.3245 0.5000
Ba: 0.1755 0.8245 0.0000
Ba: 0.7073 0.4810 0.0000
N: 0.5955 0.5955 0.0000
N: 0.2687 0.7313 0.5000
N: 0.3755 0.6245 0.5000
N: 0.6245 0.3755 0.5000
N: 0.5359 0.8122 0.5000
N: 0.6878 0.0359 0.0000
N: 0.2313 0.2313 0.0000
N: 0.3122 0.9641 0.0000
N: 0.4641 0.1878 0.5000
N: 0.9045 0.0955 0.5000
N: 0.0955 0.9045 0.5000
N: 0.4045 0.4045 0.0000
N: 0.7313 0.2687 0.5000
N: 0.1878 0.4641 0.5000
N: 0.8755 0.8755 0.0000
N: 0.8122 0.5359 0.5000
N: 0.1245 0.1245 0.0000
N: 0.0359 0.6878 0.0000
N: 0.7687 0.7687 0.0000
N: 0.9641 0.3122 0.0000
C: 0.3219 0.6781 0.5000
C: 0.6781 0.3219 0.5000
C: 0.1781 0.1781 0.0000
C: 0.8219 0.8219 0.0000

## Properties
Total DFT energy (no corrections), eV per atom: -5.8542
Formation energy (no corrections), eV/f.u.: -11.79
Mass density, g/cm³: 4.9

***

Here is a relaxed Nb3InOs crystal from Alexandria via LeMat-Bulk. Energies are from GGA-PBE.

Cell lengths 4.8783, 4.8783, 4.8783 Å; angles 90.00, 90.00, 90.00 degrees
Sites, in units of the cell vectors:
Os: 0.0000 0.0000 0.0000
Nb: 0.0000 0.5000 0.0000
Nb: 0.0000 0.0000 0.5000
Nb: 0.5000 0.0000 0.0000
In: 0.5000 0.5000 0.5000

## Properties
Total DFT energy (no corrections), eV per atom: -7.9952
Formation enthalpy at 0 K, eV per atom: 0.840
Mass density, g/cm³: 8.3

***

Here is a relaxed GdSiC2 crystal from Alexandria via LeMat-Bulk. Energies are from GGA-PBE.

Cell lengths 3.3105, 3.3105, 5.4243 Å; angles 72.23, 72.23, 60.00 degrees
Last column: magnetic moment on the atom in μB.
Sites, in units of the cell vectors:
Gd: 0.5000 0.5000 0.5000  6.90
C: 0.7305 0.7305 0.8084  -0.07
C: 0.2695 0.2695 0.1916  -0.07
Si: 0.0000 0.0000 0.0000  -0.01

## Properties
Total DFT energy (no corrections), eV per atom: -9.0403
Formation energy (no corrections), eV/f.u.: 1.79
Mass density, g/cm³: 7.2

***

Here is a relaxed SbSe2BrO crystal from Alexandria via LeMat-Bulk. Energies are from GGA-PBE.

Cell lengths 4.2583, 4.2583, 5.8143 Å; angles 90.00, 90.00, 90.00 degrees
Sites, in units of the cell vectors:
Se: 0.5000 0.0000 0.0000
Se: 0.0000 0.5000 0.0000
O: 0.0000 0.0000 0.0000
Sb: 0.5000 0.5000 0.5000
Br: 0.0000 0.0000 0.5000

## Properties
Total DFT energy (no corrections), eV per atom: -3.2621
Formation energy (no corrections), eV/f.u.: 1.41
Mass density, g/cm³: 5.9

***

Here is a relaxed ReHgTe2 crystal from Alexandria via LeMat-Bulk. Energies are from GGA-PBE.

Cell lengths 3.9702, 3.9702, 9.3102 Å; angles 82.99, 82.99, 51.19 degrees
Sites, in units of the cell vectors:
Re: 0.2500 0.2500 0.2500
Te: 0.9711 0.9711 0.0785
Te: 0.5289 0.5289 0.4215
Hg: 0.7500 0.7500 0.7500

## Properties
Total DFT energy (no corrections), eV per atom: -4.5352
Formation energy (no corrections), eV/f.u.: 0.89
Mass density, g/cm³: 9.4

***

Here is a relaxed Tb2HPd4 crystal from Alexandria via LeMat-Bulk. Energies are from GGA-PBE.

Cell lengths 3.7999, 3.7999, 9.2681 Å; angles 78.17, 78.17, 90.00 degrees
Sites, in units of the cell vectors:
Pd: 0.0000 0.5000 0.0000
Pd: 0.2053 0.2053 0.5894
Pd: 0.7947 0.7947 0.4106
Pd: 0.5000 0.0000 0.0000
H: 0.0000 0.0000 0.0000
Tb: 0.6326 0.6326 0.7348
Tb: 0.3674 0.3674 0.2652

## Properties
Total DFT energy (no corrections), eV per atom: -5.3266
Mass density, g/cm³: 9.7

***

Here is a relaxed Zr2SbBr crystal from Alexandria via LeMat-Bulk. Energies are from GGA-PBE.

Cell lengths 5.4342, 5.4342, 5.1379 Å; angles 78.95, 78.95, 37.74 degrees
Sites, in units of the cell vectors:
Zr: 0.2514 0.2514 0.3061
Zr: 0.0015 0.0015 0.9680
Sb: 0.7390 0.7390 0.8196
Br: 0.5081 0.5081 0.4064

## Properties
Total DFT energy (no corrections), eV per atom: -6.1749
Formation energy (no corrections), eV/f.u.: -1.81
Mass density, g/cm³: 7.0

***

Here is a relaxed AlCuAs2F crystal from Alexandria via LeMat-Bulk. Energies are from GGA-PBE.

Cell lengths 4.7788, 4.6306, 4.7788 Å; angles 90.00, 90.00, 90.00 degrees
Sites, in units of the cell vectors:
F: 0.5000 0.5000 0.5000
Al: 0.0000 0.0000 0.0000
As: 0.5000 0.0000 0.0000
As: 0.0000 0.0000 0.5000
Cu: 0.0000 0.5000 0.0000

## Properties
Total DFT energy (no corrections), eV per atom: -3.4099
Formation energy (no corrections), eV/f.u.: 1.96
Mass density, g/cm³: 4.1